# 1
Below is a relaxed structure of BaSr3Ac, with properties calculated at the PBE level.

a = 17.9605 Å, b = 15.2977 Å, c = 4.1140 Å
α = 90.00°, β = 103.23°, γ = 90.00°
Closest atoms and distances in Å follow each position.
Space group C2/m (No. 12)
Inequivalent atoms, fractional coordinates:
Ba  0.1015  0.0000  0.1026 [4 per cell]  1 Ba 3.55, 1 Sr 3.91
Sr  0.1474  0.2251  0.6477 [8 per cell]  2 Ac 4.05, 2 Ba 4.09, 5 Sr 4.11-4.23
Sr  0.1748  0.5000  0.6747 [4 per cell]  1 Ba 3.91, 4 Sr 4.11-4.23, 4 Ac 4.12
Ac  0.0000  0.3790  0.0000 [4 per cell]  3 Ac 3.70-4.11, 8 Sr 4.05-4.12

Summary:
Its formation energy is 1.04 eV/f.u. The distance to the lowest polymorph of the same formula comes out at 5 kJ/mol of formula units.


# 2
Below is a relaxed structure of KAlTc2, with properties calculated at the PBE level.

a = 3.0505 Å, b = 4.6535 Å, c = 10.2810 Å
α = 90.00°, β = 90.00°, γ = 90.00°
Closest atoms and distances in Å follow each position.
Space group Cmm2 (No. 35)
Inequivalent atoms, fractional coordinates:
K  0.0000  0.0000  0.0000 [2 per cell]  6 K 2.78-3.05
Al  0.0000  0.5000  0.2955 [2 per cell]  2 Tc 2.66, 4 Al 2.78
Tc  0.0000  0.0000  0.5076 [2 per cell]  6 Tc 2.57-2.78, 2 Al 2.66
Tc  0.0000  0.5000  0.7092 [2 per cell]  6 Tc 2.57-2.78

Summary:
Its formation energy is 2.27 eV/f.u.


no.,volume (Å³ per atom),calculated total energy (eV per cell)
1,55.017,-40.16
2,18.243,-46.61